[1]
# K4Ce3TmO8

A relaxed K4Ce3TmO8 crystal (GGA-PBE, the Alexandria database).

a = 7.527 Å, b = 7.527 Å, c = 7.527 Å
α = 57.00°, β = 57.00°, γ = 57.00°
Fractional coordinates of all 16 atoms:
K  0.000  0.000  0.000
K  0.000  0.500  0.500
K  0.500  0.000  0.500
K  0.500  0.500  0.000
Ce  0.000  0.000  0.500
Ce  0.000  0.500  0.000
Ce  0.500  0.000  0.000
Tm  0.500  0.500  0.500
O  0.231  0.231  0.231
O  0.241  0.723  0.723
O  0.277  0.277  0.759
O  0.277  0.759  0.277
O  0.723  0.241  0.723
O  0.723  0.723  0.241
O  0.759  0.277  0.277
O  0.769  0.769  0.769

Summary:
- VASP energy (eV/atom) = -6.777
- energy relative to the elements, uncorrected (meV/atom) = -2631

=====

[2]
# KCeUO6

A relaxed KCeUO6 crystal (GGA-PBE, the Alexandria database).

a = 8.100 Å, b = 8.100 Å, c = 8.100 Å
α = 121.94°, β = 119.68°, γ = 88.61°
Fractional coordinates of all 18 atoms:
K  0.313  0.063  0.250
K  0.687  0.937  0.750
Ce  0.000  0.000  0.500
Ce  0.000  0.500  0.000
U  0.000  0.500  0.500
U  0.500  0.500  0.000
O  0.060  0.428  0.259
O  0.060  0.801  0.632
O  0.075  0.825  0.250
O  0.306  0.556  0.750
O  0.331  0.199  0.759
O  0.331  0.572  0.132
O  0.669  0.428  0.868
O  0.669  0.801  0.241
O  0.694  0.444  0.250
O  0.925  0.175  0.750
O  0.940  0.199  0.368
O  0.940  0.572  0.741

Summary:
- VASP energy (eV/atom) = -8.033
- energy relative to the elements, uncorrected (meV/atom) = -2692

=====

[3]
# K3CeU2O9

A relaxed K3CeU2O9 crystal (GGA-PBE, the Alexandria database).

a = 6.151 Å, b = 6.151 Å, c = 7.536 Å
α = 90.00°, β = 90.00°, γ = 120.00°
Fractional coordinates of all 15 atoms:
K  0.000  0.000  0.000
K  0.333  0.667  0.663
K  0.667  0.333  0.337
Ce  0.000  0.000  0.500
U  0.333  0.667  0.165
U  0.667  0.333  0.835
O  0.000  0.500  0.000
O  0.173  0.347  0.324
O  0.173  0.827  0.324
O  0.347  0.173  0.676
O  0.500  0.000  0.000
O  0.500  0.500  0.000
O  0.653  0.827  0.324
O  0.827  0.173  0.676
O  0.827  0.653  0.676

Summary:
- VASP energy (eV/atom) = -7.994
- energy relative to the elements, uncorrected (meV/atom) = -2899

=====

[4]
# KCe2UO8

A relaxed KCe2UO8 crystal (GGA-PBE, the Alexandria database).

a = 4.000 Å, b = 5.435 Å, c = 7.816 Å
α = 90.00°, β = 90.00°, γ = 90.00°
Fractional coordinates of all 12 atoms:
K  0.000  0.000  0.000
Ce  0.500  0.500  0.261
Ce  0.500  0.500  0.739
U  0.000  0.000  0.500
O  0.000  0.250  0.295
O  0.000  0.250  0.705
O  0.000  0.750  0.295
O  0.000  0.750  0.705
O  0.500  0.234  0.500
O  0.500  0.309  0.000
O  0.500  0.691  0.000
O  0.500  0.766  0.500

Summary:
- VASP energy (eV/atom) = -8.189
- energy relative to the elements, uncorrected (meV/atom) = -2863

=====

What is the formula in the second record? KCeUO6